No. 1
Compound: Pm4Y2Sn3O2
Source: Alexandria via LeMat-Bulk
Functional: PBE-GGA
Structure: optimized geometry

Cell: 4.771 4.771 13.120 Å, 100.48 100.48 90.00°
Sites, in units of the cell vectors:
Pm1 0.416 0.916 0.832
Pm2 0.916 0.416 0.832
Pm3 0.084 0.584 0.168
Pm4 0.584 0.084 0.168
Y1 0.305 0.305 0.611
Y2 0.695 0.695 0.389
Sn1 0.000 0.000 0.000
Sn2 0.180 0.180 0.360
Sn3 0.820 0.820 0.640
O1 0.396 0.396 0.791
O2 0.604 0.604 0.209

Calculated values
* calculated density: 6.59 g cm⁻³
* final energy: -6.383 eV/atom
* SG: I4/mmm, No. 139
* N(E_F): 5.1 states/eV/cell



No. 2
Compound: PmZrSn2O8
Source: Alexandria via LeMat-Bulk
Functional: PBE-GGA
Structure: optimized geometry

Cell: 6.141 6.141 6.141 Å, 108.86 108.86 110.69°
Last column: magnetic moment on the atom in μB.
Sites, in units of the cell vectors:
Pm1 0.000 0.000 0.000  0.01
Zr1 0.250 0.750 0.500  -0.02
Sn1 0.750 0.250 0.500  -0.01
Sn2 0.500 0.500 0.000  -0.01
O1 0.358 0.035 0.323  0.14
O2 0.304 0.504 0.199  0.07
O3 0.304 0.105 0.801  0.07
O4 0.712 0.035 0.677  0.14
O5 0.895 0.696 0.199  0.07
O6 0.965 0.288 0.323  0.14
O7 0.965 0.642 0.677  0.14
O8 0.496 0.696 0.801  0.07

Calculated values
* calculated density: 5.61 g cm⁻³
* final energy: -7.169 eV/atom
* SG: I-4m2, No. 119
* N(E_F): 12.3 states/eV/cell



No. 3
Compound: PmZrSnO6
Source: Alexandria via LeMat-Bulk
Functional: PBE-GGA
Structure: optimized geometry

Cell: 5.043 5.043 10.223 Å, 90.00 90.00 90.00°
Last column: magnetic moment on the atom in μB.
Sites, in units of the cell vectors:
Pm1 0.500 0.500 0.502  0.00
Pm2 0.000 0.000 0.002  0.00
Zr1 0.500 0.500 0.169  -0.03
Zr2 0.000 0.000 0.669  -0.03
Sn1 0.500 0.500 0.833  -0.01
Sn2 0.000 0.000 0.333  -0.01
O1 0.177 0.823 0.497  0.12
O2 0.823 0.177 0.497  0.12
O3 0.323 0.323 0.997  0.12
O4 0.677 0.677 0.997  0.12
O5 0.203 0.797 0.185  0.14
O6 0.797 0.203 0.185  0.14
O7 0.297 0.297 0.685  0.14
O8 0.703 0.703 0.685  0.14
O9 0.794 0.206 0.816  0.15
O10 0.206 0.794 0.816  0.15
O11 0.706 0.706 0.316  0.15
O12 0.294 0.294 0.316  0.15

Calculated values
* calculated density: 5.76 g cm⁻³
* final energy: -7.683 eV/atom
* SG: P4_2nm, No. 102
* N(E_F): 12.0 states/eV/cell



No. 4
Compound: SrPmO2
Source: Alexandria via LeMat-Bulk
Functional: PBE-GGA
Structure: optimized geometry

Cell: 3.514 3.514 6.545 Å, 74.43 74.43 60.00°
Sites, in units of the cell vectors:
Sr1 0.496 0.496 0.513
Pm1 0.669 0.669 0.992
O1 0.079 0.079 0.763
O2 0.256 0.256 0.232

Calculated values
* ΔE to the lowest computed polymorph: 0.1334 eV/atom
* calculated density: 6.60 g cm⁻³
* final energy: -6.670 eV/atom
* SG: R3m, No. 160
* N(E_F): 1.5 states/eV/cell



No. 5
Compound: SrPmO
Source: Alexandria via LeMat-Bulk
Functional: PBE-GGA
Structure: optimized geometry

Cell: 3.628 3.629 13.114 Å, 90.00 90.00 119.99°
Sites, in units of the cell vectors:
O1 0.613 0.225 0.000
O2 0.276 0.553 0.500
Sr1 0.610 0.220 0.380
Sr2 0.610 0.220 0.620
Pm1 0.279 0.558 0.879
Pm2 0.279 0.558 0.121

Calculated values
* ΔE to the lowest computed polymorph: 0.1560 eV/atom
* calculated density: 5.52 g cm⁻³
* final energy: -5.238 eV/atom
* SG: Amm2, No. 38
* N(E_F): 4.8 states/eV/cell



No. 6
Compound: SrPmO2
Source: Alexandria via LeMat-Bulk
Functional: PBE-GGA
Structure: optimized geometry

Cell: 3.563 3.563 6.321 Å, 73.72 73.72 59.97°
Sites, in units of the cell vectors:
Sr1 0.500 0.500 0.500
Pm1 0.000 0.000 0.000
O1 0.746 0.746 0.762
O2 0.254 0.254 0.238

Calculated values
* ΔE to the lowest computed polymorph: 0.0000 eV/atom
* calculated density: 6.68 g cm⁻³
* final energy: -6.804 eV/atom
* SG: C2/m, No. 12
* N(E_F): 0.7 states/eV/cell



Asked for spin magnetization across the records above, the calculation gives 0.0; 1.0; 0.9; 0.0; 0.0; 0.0 μB/f.u. in order.